This record from Alexandria via LeMat-Bulk describes a relaxed DySi3Tc3 crystal. The functional is GGA-PBE.

```
DySi3Tc3
1.0
6.5596 0.0000 0.0000
0.0000 6.5596 0.0000
0.0000 0.0000 6.5596
Dy Si Tc
2 6 6
direct
0.0000 0.0000 0.0000
0.5000 0.5000 0.5000
0.0000 0.2500 0.5000
0.0000 0.7500 0.5000
0.2500 0.5000 0.0000
0.5000 0.0000 0.2500
0.5000 0.0000 0.7500
0.7500 0.5000 0.0000
0.0000 0.5000 0.2500
0.0000 0.5000 0.7500
0.2500 0.0000 0.5000
0.5000 0.2500 0.0000
0.5000 0.7500 0.0000
0.7500 0.0000 0.5000
```

Energy relative to the elements, uncorrected, eV per formula unit: 1.20
Crystal system: cubic
Space group: Pm-3n (223)
Energy above the most stable polymorph in this dataset, meV/atom: 638